[1]
DFT (GGA-PBE) results for a relaxed structure of Dy3ScO6.

Summary:
As for the total energy: -171.47 eV per cell. Its total magnetic moment is 0.0 Bohr magnetons per cell.

Lattice parameters (Å, degrees): 6.5568 6.5568 6.5568 92.03 92.03 92.03
Element x y z (fractional)
Dy  0.0609  0.5682  0.7528
Dy  0.2472  0.9391  0.4318
Dy  0.4318  0.2472  0.9391
Dy  0.5682  0.7528  0.0609
Dy  0.7528  0.0609  0.5682
Dy  0.9391  0.4318  0.2472
Sc  0.0000  0.0000  0.0000
Sc  0.5000  0.5000  0.5000
O  0.0367  0.9070  0.6937
O  0.0930  0.3063  0.9632
O  0.1936  0.5858  0.4310
O  0.3063  0.9633  0.0930
O  0.4142  0.5690  0.8064
O  0.4310  0.1936  0.5858
O  0.5690  0.8064  0.4142
O  0.5858  0.4310  0.1936
O  0.6937  0.0368  0.9070
O  0.8064  0.4142  0.5690
O  0.9070  0.6937  0.0367
O  0.9632  0.0930  0.3063

---

[2]
DFT (GGA-PBE) results for a relaxed structure of TaPPbO.

Summary:
As for the total energy: -58.97 eV per cell. Its total magnetic moment is 0.0 Bohr magnetons per cell.

Lattice parameters (Å, degrees): 3.8379 8.5347 5.0754 90.00 90.00 90.00
Element x y z (fractional)
Ta  0.0000  0.1231  0.0000
Ta  0.0000  0.8769  0.5000
P  0.0000  0.1632  0.5026
P  0.0000  0.8368  0.0026
Pb  0.5000  0.3978  0.4520
Pb  0.5000  0.6022  0.9520
O  0.5000  0.1667  0.9969
O  0.5000  0.8333  0.4969

---

[3]
DFT (GGA-PBE) results for a relaxed structure of SmGaB.

Summary:
As for the total energy: -12.33 eV per cell. Its total magnetic moment is 0.0 Bohr magnetons per cell.

Lattice parameters (Å, degrees): 4.5367 4.5367 4.5367 60.00 60.00 60.00
Element x y z (fractional)
Sm  0.0000  0.0000  0.0000
Ga  0.2500  0.2500  0.2500
B  0.7500  0.7500  0.7500

---

[4]
DFT (GGA-PBE) results for a relaxed structure of FeSiTcPd.

Summary:
As for the total energy: -29.40 eV per cell. Its total magnetic moment is 1.8 Bohr magnetons per cell.

Lattice parameters (Å, degrees): 4.2336 4.2336 4.2336 60.00 60.00 60.00
Element x y z (fractional)
Fe  0.0000  0.0000  0.0000
Si  0.7500  0.7500  0.7500
Tc  0.5000  0.5000  0.5000
Pd  0.2500  0.2500  0.2500